Entry 1:
VASP calculation (meta-GGA SCAN) on KAu2S2 at its PBEsol-relaxed geometry.

Computed properties:
The magnetic moment is 0.00 μB per formula unit. The calculation puts the uncorrected formation energy at -30.0 kJ per mole of atoms. The volume is 259 Å³/cell. For the raw total energy, the calculation gives -33.49 eV/atom.

a b c (Å): 4.9188 4.9188 10.6942
angles (deg): 90.00 90.00 90.00
With the nearest neighbours (Å) after each atom.
Fractional coordinates of all 10 atoms:
K  0.0000  0.0000  0.0000  2 Au 3.08
K  0.5000  0.5000  0.5000  2 Au 3.08
Au  0.0000  0.0000  0.2884  4 S 2.49
Au  0.0000  0.0000  0.7116  4 S 2.49
Au  0.5000  0.5000  0.2116  4 S 2.49
Au  0.5000  0.5000  0.7884  4 S 2.49
S  0.0000  0.5000  0.2500  4 Au 2.49
S  0.0000  0.5000  0.7500  4 Au 2.49
S  0.5000  0.0000  0.2500  4 Au 2.49
S  0.5000  0.0000  0.7500  4 Au 2.49

Entry 2:
VASP calculation (meta-GGA SCAN) on Zn2Tc2Ru at its PBEsol-relaxed geometry.

Computed properties:
The magnetic moment is 1.40 μB per formula unit. The volume is 147 Å³/cell. For the raw total energy, the calculation gives -25.82 eV/atom.

a b c (Å): 3.4390 3.4390 12.4376
angles (deg): 90.00 90.00 90.00
With the nearest neighbours (Å) after each atom.
Fractional coordinates of all 10 atoms:
Zn  0.0000  0.0000  0.0916  1 Zn 2.28
Zn  0.0000  0.0000  0.9084  1 Zn 2.28
Zn  0.5000  0.5000  0.4084  1 Zn 2.28
Zn  0.5000  0.5000  0.5916  1 Zn 2.28
Tc  0.0000  0.5000  0.2500  4 Tc 2.43, 4 Zn 2.61
Tc  0.0000  0.5000  0.7500  4 Tc 2.43, 4 Zn 2.61
Tc  0.5000  0.0000  0.2500  4 Tc 2.43, 4 Zn 2.61
Tc  0.5000  0.0000  0.7500  4 Tc 2.43, 4 Zn 2.61
Ru  0.0000  0.0000  0.5000  8 Zn 2.69
Ru  0.5000  0.5000  0.0000  8 Zn 2.69

Entry 3:
VASP calculation (meta-GGA SCAN) on FeAsF3 at its PBEsol-relaxed geometry.

Computed properties:
The magnetic moment is 6.80 μB per formula unit. The calculation puts the uncorrected formation energy at -121.0 kJ per mole of atoms. The volume is 66 Å³/cell. For the raw total energy, the calculation gives -11.04 eV/atom.

a b c (Å): 4.0404 4.0404 4.0404
angles (deg): 90.00 90.00 90.00
With the nearest neighbours (Å) after each atom.
Fractional coordinates of all 5 atoms:
Fe  0.0000  0.0000  0.0000  6 F 2.02
As  0.5000  0.5000  0.5000  12 F 2.86
F  0.0000  0.0000  0.5000  2 Fe 2.02
F  0.0000  0.5000  0.0000  2 Fe 2.02
F  0.5000  0.0000  0.0000  2 Fe 2.02

Entry 4:
VASP calculation (meta-GGA SCAN) on NdSbO4 at its PBEsol-relaxed geometry.

Computed properties:
The magnetic moment is 0.00 μB per formula unit. The calculation puts the uncorrected formation energy at -248.6 kJ per mole of atoms. The volume is 318 Å³/cell. For the raw total energy, the calculation gives -20.20 eV/atom.

a b c (Å): 7.6577 5.4971 7.6584
angles (deg): 90.00 99.85 90.00
With the nearest neighbours (Å) after each atom.
Fractional coordinates of all 24 atoms:
Nd  0.1478  0.2265  0.3983  6 O 2.31-2.54
Nd  0.1478  0.2735  0.8983  6 O 2.31-2.54
Nd  0.8522  0.7265  0.1017  6 O 2.31-2.54
Nd  0.8522  0.7735  0.6017  6 O 2.31-2.54
Sb  0.3369  0.7305  0.1969  6 O 1.95-2.04
Sb  0.3369  0.7695  0.6969  6 O 1.95-2.04
Sb  0.6631  0.2305  0.3031  6 O 1.95-2.04
Sb  0.6631  0.2695  0.8031  6 O 1.95-2.04
O  0.1194  0.5198  0.1719  1 Sb 2.01
O  0.1194  0.9802  0.6719  1 Sb 2.01
O  0.1693  0.5043  0.6281  1 Sb 1.95
O  0.1693  0.9957  0.1281  1 Sb 1.95
O  0.3321  0.6346  0.9427  2 Sb 2.01-2.03
O  0.3321  0.8654  0.4427  2 Sb 2.01-2.03
O  0.4364  0.0920  0.8012  2 Sb 1.99-2.04
O  0.4364  0.4080  0.3012  2 Sb 1.99-2.04
O  0.5636  0.5920  0.6988  2 Sb 1.99-2.04
O  0.5636  0.9080  0.1988  2 Sb 1.99-2.04
O  0.6679  0.1346  0.5573  2 Sb 2.01-2.03
O  0.6679  0.3654  0.0573  2 Sb 2.01-2.03
O  0.8307  0.0043  0.8719  1 Sb 1.95
O  0.8307  0.4957  0.3719  1 Sb 1.95
O  0.8806  0.0198  0.3281  1 Sb 2.01
O  0.8806  0.4802  0.8281  1 Sb 2.01